[1]
! AlMoPb2 | Alexandria | PBE | optimized geometry; values from VASP
! Energy relative to the elements, eV/atom: 0.635
&SYSTEM
  ibrav = 0, nat = 4, ntyp = 3
/
ATOMIC_SPECIES
Pb 207.20 Pb.upf
Mo 95.94 Mo.upf
Al 26.98 Al.upf
CELL_PARAMETERS angstrom
10.715 -0.004 -0.002
10.241 3.152 -0.002
10.241 1.538 2.751
ATOMIC_POSITIONS crystal
Pb 0.008 0.008 0.008
Pb 0.492 0.492 0.492
Mo 0.750 0.750 0.750
Al 0.250 0.250 0.250

[2]
! AlMoPb2 | Alexandria | PBE | optimized geometry; values from VASP
! Energy relative to the elements, eV/atom: 0.311
&SYSTEM
  ibrav = 0, nat = 4, ntyp = 3
/
ATOMIC_SPECIES
Pb 207.20 Pb.upf
Mo 95.94 Mo.upf
Al 26.98 Al.upf
CELL_PARAMETERS angstrom
-0.707 1.158 3.073
-3.230 0.322 -0.864
-1.490 -7.889 2.630
ATOMIC_POSITIONS crystal
Pb 0.500 0.500 0.309
Pb 0.000 0.000 0.929
Mo 0.500 0.500 0.695
Al 0.000 0.000 0.566

[3]
! AlMo2Pb | Alexandria | PBE | optimized geometry; values from VASP
! Energy relative to the elements, eV/atom: 0.292
! ΔE to the lowest computed polymorph, eV per atom: 0.106
&SYSTEM
  ibrav = 0, nat = 4, ntyp = 3
/
ATOMIC_SPECIES
Mo 95.94 Mo.upf
Pb 207.20 Pb.upf
Al 26.98 Al.upf
CELL_PARAMETERS angstrom
-8.564 3.469 0.131
-8.883 1.350 -2.158
-9.190 0.480 0.838
ATOMIC_POSITIONS crystal
Mo 0.996 0.996 0.996
Mo 0.262 0.262 0.262
Pb 0.504 0.504 0.504
Al 0.738 0.738 0.738

[4]
! Al4MoPb | Alexandria | PBE | optimized geometry; values from VASP
! Energy relative to the elements, eV/atom: 0.188
&SYSTEM
  ibrav = 0, nat = 6, ntyp = 3
/
ATOMIC_SPECIES
Al 26.98 Al.upf
Pb 207.20 Pb.upf
Mo 95.94 Mo.upf
CELL_PARAMETERS angstrom
4.042 -1.955 2.792
-0.811 -3.960 3.407
1.860 -4.831 -1.071
ATOMIC_POSITIONS crystal
Al 0.869 0.377 0.377
Al 0.377 0.377 0.869
Al 0.377 0.869 0.377
Al 0.377 0.377 0.377
Pb 0.000 0.000 0.000
Mo 0.750 0.750 0.750

[5]
! AlMoPb2 | Alexandria | PBE | optimized geometry; values from VASP
! Energy relative to the elements, eV/atom: 0.691
&SYSTEM
  ibrav = 0, nat = 4, ntyp = 3
/
ATOMIC_SPECIES
Mo 95.94 Mo.upf
Pb 207.20 Pb.upf
Al 26.98 Al.upf
CELL_PARAMETERS angstrom
-2.749 2.016 -4.241
-1.674 -4.152 -3.093
-0.490 0.909 5.343
ATOMIC_POSITIONS crystal
Mo 0.750 0.250 0.500
Pb 0.500 0.500 0.000
Pb 0.000 0.000 0.000
Al 0.250 0.750 0.500

[6]
! AlMoPb2 | Alexandria | PBE | optimized geometry; values from VASP
! Energy relative to the elements, eV/atom: 0.379
&SYSTEM
  ibrav = 0, nat = 4, ntyp = 3
/
ATOMIC_SPECIES
Pb 207.20 Pb.upf
Mo 95.94 Mo.upf
Al 26.98 Al.upf
CELL_PARAMETERS angstrom
-1.007 2.904 -0.420
-2.235 -1.439 1.600
4.421 2.790 8.685
ATOMIC_POSITIONS crystal
Pb 0.000 0.000 0.945
Pb 0.500 0.500 0.295
Mo 0.500 0.500 0.718
Al 0.000 0.000 0.542

[7]
! Al3MoPb | Alexandria | PBE | optimized geometry; values from VASP
! Energy relative to the elements, eV/atom: 0.425
! ΔE to the lowest computed polymorph, eV per atom: 0.000
&SYSTEM
  ibrav = 0, nat = 5, ntyp = 3
/
ATOMIC_SPECIES
Al 26.98 Al.upf
Mo 95.94 Mo.upf
Pb 207.20 Pb.upf
CELL_PARAMETERS angstrom
4.910 0.000 0.000
0.000 4.910 0.000
0.000 0.000 4.910
ATOMIC_POSITIONS crystal
Al 0.000 0.000 0.500
Al 0.500 0.000 0.000
Al 0.000 0.500 0.000
Mo 0.000 0.000 0.000
Pb 0.500 0.500 0.500

[8]
! AlMo2Pb | Alexandria | PBE | optimized geometry; values from VASP
! Energy relative to the elements, eV/atom: 0.475
! ΔE to the lowest computed polymorph, eV per atom: 0.289
&SYSTEM
  ibrav = 0, nat = 4, ntyp = 3
/
ATOMIC_SPECIES
Pb 207.20 Pb.upf
Mo 95.94 Mo.upf
Al 26.98 Al.upf
CELL_PARAMETERS angstrom
-0.674 2.435 4.676
-4.649 -1.104 2.327
4.476 -2.206 -1.830
ATOMIC_POSITIONS crystal
Pb 0.750 0.250 0.500
Mo 0.489 0.489 0.000
Mo 0.011 0.011 0.000
Al 0.250 0.750 0.500